No. 1
Density functional theory data (PBE) for crystalline Mg2AgPt at its relaxed geometry.

a b c (Å): 3.9359 3.9359 5.2168
angles (deg): 112.06 112.06 89.96
With the nearest neighbours (Å) after each atom.
Atoms (fractional coordinates):
Mg (0.0000, 0.0000, 0.0000)  4 Pt 2.78, 4 Ag 2.96, 4 Mg 2.96
Mg (0.7499, 0.2501, 0.5000)  4 Ag 2.78, 4 Pt 2.96, 4 Mg 2.96
Ag (0.2498, 0.7502, 0.5000)  8 Mg 2.78-2.96, 4 Pt 2.96
Pt (0.5004, 0.4996, 0.0000)  8 Mg 2.78-2.96, 4 Ag 2.96

Output
- DFT formation energy: -500 meV/atom
- Distance to the lowest polymorph of the same formula: 7.6 kJ/mol of atoms
- SG: C2, No. 5
- Total magnetic moment: 0.000 μB/f.u.

***

No. 2
Density functional theory data (PBE) for crystalline Mg4AgPt2 at its relaxed geometry.

a b c (Å): 7.6476 7.6476 7.6476
angles (deg): 34.68 34.68 34.68
With the nearest neighbours (Å) after each atom.
Atoms (fractional coordinates):
Mg (0.1143, 0.1143, 0.1143)  4 Pt 2.69-2.82, 3 Ag 2.86
Mg (0.3694, 0.3694, 0.3694)  4 Pt 2.68-2.86, 1 Ag 2.81
Mg (0.6306, 0.6306, 0.6306)  4 Pt 2.68-2.86, 1 Ag 2.81
Mg (0.8857, 0.8857, 0.8857)  4 Pt 2.69-2.82, 3 Ag 2.86
Ag (0.5000, 0.5000, 0.5000)  8 Mg 2.81-2.86, 6 Pt 3.13
Pt (0.2451, 0.2451, 0.2451)  8 Mg 2.68-2.86
Pt (0.7549, 0.7549, 0.7549)  8 Mg 2.68-2.86

Output
- DFT formation energy: -627 meV/atom
- SG: R-3m, No. 166
- Total magnetic moment: 0.000 μB/f.u.

***

No. 3
Density functional theory data (PBE) for crystalline Mg2AgPt9 at its relaxed geometry.

a b c (Å): 3.9719 3.9719 11.9502
angles (deg): 90.00 90.00 90.00
With the nearest neighbours (Å) after each atom.
Atoms (fractional coordinates):
Mg (0.0000, 0.0000, 0.1653)  12 Pt 2.79-2.81
Mg (0.0000, 0.0000, 0.8347)  12 Pt 2.79-2.81
Ag (0.0000, 0.0000, 0.5000)  12 Pt 2.81-2.85
Pt (0.0000, 0.5000, 0.0000)  8 Pt 2.79-2.81, 4 Mg 2.80
Pt (0.0000, 0.5000, 0.3291)  2 Mg 2.79, 8 Pt 2.79-2.85, 2 Ag 2.85
Pt (0.0000, 0.5000, 0.6709)  2 Mg 2.79, 8 Pt 2.79-2.85, 2 Ag 2.85
Pt (0.5000, 0.0000, 0.0000)  8 Pt 2.79-2.81, 4 Mg 2.80
Pt (0.5000, 0.0000, 0.3291)  2 Mg 2.79, 8 Pt 2.79-2.85, 2 Ag 2.85
Pt (0.5000, 0.0000, 0.6709)  2 Mg 2.79, 8 Pt 2.79-2.85, 2 Ag 2.85
Pt (0.5000, 0.5000, 0.1645)  8 Pt 2.79, 4 Mg 2.81
Pt (0.5000, 0.5000, 0.5000)  4 Ag 2.81, 8 Pt 2.85
Pt (0.5000, 0.5000, 0.8355)  8 Pt 2.79, 4 Mg 2.81

Output
- DFT formation energy: -390 meV/atom
- SG: P4/mmm, No. 123
- Total magnetic moment: 0.000 μB/f.u.

***

No. 4
Density functional theory data (PBE) for crystalline Mg5Ag2Pt2 at its relaxed geometry.

a b c (Å): 8.7196 4.6227 4.6227
angles (deg): 60.10 90.00 90.00
With the nearest neighbours (Å) after each atom.
Atoms (fractional coordinates):
Mg (0.0000, 0.0000, 0.0000)  3 Ag 2.66-2.68, 2 Pt 2.81
Mg (0.1822, 0.6690, 0.6690)  3 Ag 2.77-3.10, 3 Pt 2.93-2.94, 4 Mg 2.97-3.09
Mg (0.3322, 0.3360, 0.3360)  3 Pt 2.67, 1 Ag 2.90, 4 Mg 2.93-2.98
Mg (0.6678, 0.3360, 0.3360)  3 Pt 2.67, 1 Ag 2.90, 4 Mg 2.93-2.98
Mg (0.8178, 0.6690, 0.6690)  3 Ag 2.77-3.10, 3 Pt 2.93-2.94, 4 Mg 2.97-3.09
Ag (0.0000, 0.3325, 0.3325)  5 Mg 2.66-2.90
Ag (0.5000, 0.6694, 0.6694)  8 Mg 2.77-3.05, 6 Pt 3.09
Pt (0.3220, 0.0028, 0.0028)  7 Mg 2.67-2.94
Pt (0.6780, 0.0028, 0.0028)  7 Mg 2.67-2.94

Output
- DFT formation energy: -405 meV/atom
- SG: Amm2, No. 38
- Total magnetic moment: 0.000 μB/f.u.

***

No. 5
Density functional theory data (PBE) for crystalline Mg5AgPt4 at its relaxed geometry.

a b c (Å): 3.0034 3.0034 18.1634
angles (deg): 90.00 90.00 90.00
With the nearest neighbours (Å) after each atom.
Atoms (fractional coordinates):
Mg (0.0000, 0.0000, 0.0000)  8 Pt 2.77, 4 Mg 3.00
Mg (0.0000, 0.0000, 0.1943)  8 Pt 2.76-2.78, 4 Mg 3.00
Mg (0.0000, 0.0000, 0.3875)  4 Pt 2.73, 4 Ag 2.95, 4 Mg 3.00
Mg (0.0000, 0.0000, 0.6125)  4 Pt 2.73, 4 Ag 2.95, 4 Mg 3.00
Mg (0.0000, 0.0000, 0.8057)  8 Pt 2.76-2.78, 4 Mg 3.00
Ag (0.5000, 0.5000, 0.5000)  8 Mg 2.95, 4 Ag 3.00
Pt (0.5000, 0.5000, 0.0975)  8 Mg 2.76-2.77, 4 Pt 3.00
Pt (0.5000, 0.5000, 0.2933)  8 Mg 2.73-2.78, 4 Pt 3.00
Pt (0.5000, 0.5000, 0.7067)  8 Mg 2.73-2.78, 4 Pt 3.00
Pt (0.5000, 0.5000, 0.9025)  8 Mg 2.76-2.77, 4 Pt 3.00

Output
- DFT formation energy: -748 meV/atom
- SG: P4/mmm, No. 123
- Total magnetic moment: 0.000 μB/f.u.

***

No. 6
Density functional theory data (PBE) for crystalline MgAg2Pt at its relaxed geometry.

a b c (Å): 4.9262 4.9262 4.9720
angles (deg): 101.35 101.35 35.57
With the nearest neighbours (Å) after each atom.
Atoms (fractional coordinates):
Mg (0.0000, 0.0000, 0.0000)  3 Pt 2.73-2.84, 7 Ag 2.85-2.96, 2 Mg 3.01
Ag (0.5092, 0.5092, 0.5168)  5 Ag 2.79-3.01, 4 Mg 2.85-2.96, 3 Pt 2.88-2.94
Ag (0.7555, 0.7555, 0.2822)  5 Ag 2.79-3.01, 4 Pt 2.88-2.93, 3 Mg 2.93
Pt (0.2599, 0.2599, 0.7900)  3 Mg 2.73-2.84, 7 Ag 2.88-2.94, 2 Pt 3.01

Output
- DFT formation energy: -252 meV/atom
- SG: Cm, No. 8
- Total magnetic moment: 0.000 μB/f.u.

***

no.,total energy (eV/cell)
1,-14.08
2,-25.70
3,-65.09
4,-29.40
5,-42.47
6,-14.35